A relaxed InNiRh crystal, computed with GGA-PBE.

a b c (Å): 5.0929 5.0929 5.0929
angles (deg): 144.02 144.02 51.80
Positions (direct):
In  0.0000  0.0000  0.0000
Ni  0.6641  0.6641  0.0000
Rh  0.3193  0.3193  0.0000

Values from the calculation:
The value obtained for the energy above the most stable polymorph in this dataset is 0.014 eV per atom. As for the calculated volume: 45 Å³/cell. As for the energy of formation: -0.086 eV/atom. The density comes out at 10.124 g/cm³.

***

A relaxed Rb2CaNpBr6 crystal, computed with GGA-PBE.

a b c (Å): 8.1728 11.6648 8.3801
angles (deg): 90.00 90.00 90.00
Positions (direct):
Rb  0.2500  0.0290  0.2094
Rb  0.2500  0.4710  0.2094
Rb  0.7500  0.5290  0.7906
Rb  0.7500  0.9710  0.7906
Ca  0.2500  0.7500  0.7654
Ca  0.7500  0.2500  0.2346
Np  0.2500  0.2500  0.7291
Np  0.7500  0.7500  0.2709
Br  0.0054  0.7500  0.0162
Br  0.0100  0.2500  0.4652
Br  0.2500  0.5024  0.7723
Br  0.2500  0.9976  0.7723
Br  0.4900  0.2500  0.4652
Br  0.4946  0.7500  0.0162
Br  0.5054  0.2500  0.9838
Br  0.5100  0.7500  0.5348
Br  0.7500  0.0024  0.2277
Br  0.7500  0.4976  0.2277
Br  0.9900  0.7500  0.5348
Br  0.9946  0.2500  0.9838

Values from the calculation:
As for the calculated volume: 799 Å³/cell. The value obtained for the formation energy without anion corrections is -1553 meV per atom. The density comes out at 3.855 g/cm³.

***

A relaxed BaLiSm2Se4 crystal, computed with GGA-PBE.

a b c (Å): 7.3873 7.3873 14.5537
angles (deg): 90.00 90.00 146.36
Positions (direct):
Ba  0.1160  0.8840  0.7500
Ba  0.8840  0.1160  0.2500
Li  0.1548  0.8452  0.2500
Li  0.8452  0.1548  0.7500
Sm  0.3720  0.6280  0.5559
Sm  0.3720  0.6280  0.9441
Sm  0.6280  0.3720  0.0559
Sm  0.6280  0.3720  0.4441
Se  0.0000  0.0000  0.0000
Se  0.0000  0.0000  0.5000
Se  0.2668  0.7332  0.1161
Se  0.2668  0.7332  0.3839
Se  0.4387  0.5613  0.7500
Se  0.5613  0.4387  0.2500
Se  0.7332  0.2668  0.6161
Se  0.7332  0.2668  0.8839

Values from the calculation:
As for the calculated volume: 440 Å³/cell. The value obtained for the formation energy without anion corrections is -1817 meV per atom. The density comes out at 5.743 g/cm³.

***

A relaxed LiPmTiOs crystal, computed with GGA-PBE.

a b c (Å): 4.7178 4.7178 4.7178
angles (deg): 60.00 60.00 60.00
Positions (direct):
Li  0.0000  0.0000  0.0000
Pm  0.2500  0.2500  0.2500
Ti  0.7500  0.7500  0.7500
Os  0.5000  0.5000  0.5000

Values from the calculation:
As for the calculated volume: 74 Å³/cell. As for the energy of formation: -0.018 eV/atom. The density comes out at 8.723 g/cm³.

***

A relaxed KTl3Sb crystal, computed with GGA-PBE.

a b c (Å): 6.0642 6.0642 6.0642
angles (deg): 90.00 90.00 90.00
Positions (direct):
K  0.0000  0.0000  0.0000
Tl  0.0000  0.5000  0.5000
Tl  0.5000  0.0000  0.5000
Tl  0.5000  0.5000  0.0000
Sb  0.5000  0.5000  0.5000

Values from the calculation:
The value obtained for the energy above the most stable polymorph in this dataset is 0.293 eV per atom. As for the calculated volume: 223 Å³/cell. The value obtained for the formation energy without anion corrections is 162 meV per atom. The density comes out at 5.763 g/cm³.

***

A relaxed AlHSe2S crystal, computed with GGA-PBE.

a b c (Å): 3.7779 3.7779 7.2937
angles (deg): 90.00 90.00 90.00
Positions (direct):
Al  0.0000  0.0000  0.0000
H  0.0000  0.0000  0.5000
Se  0.0000  0.5000  0.5000
Se  0.5000  0.0000  0.5000
S  0.5000  0.5000  0.0000

Values from the calculation:
The calculation puts the raw total energy at -3.31 eV per atom. As for the calculated volume: 104 Å³/cell. The density comes out at 3.477 g/cm³.

***

A relaxed BeCd2 crystal, computed with GGA-PBE.

a b c (Å): 4.4698 4.4698 2.8138
angles (deg): 90.00 90.00 90.00
Positions (direct):
Be  0.0000  0.0000  0.0000
Cd  0.0000  0.5000  0.5000
Cd  0.5000  0.0000  0.5000

Values from the calculation:
The value obtained for the energy above the most stable polymorph in this dataset is 0.000 eV per atom. As for the calculated volume: 56 Å³/cell. As for the energy of formation: 0.248 eV/atom. The density comes out at 6.907 g/cm³.

***

A relaxed SrInSi crystal, computed with GGA-PBE.

a b c (Å): 6.4203 6.4203 6.4203
angles (deg): 146.65 146.65 47.88
Positions (direct):
Sr  0.0000  0.0000  0.0000
In  0.2950  0.2950  0.0000
Si  0.6846  0.6846  0.0000

Values from the calculation:
As for the calculated volume: 80 Å³/cell. The value obtained for the formation energy without anion corrections is -119 meV per atom. The density comes out at 4.806 g/cm³.

***

A relaxed NaPd2Se2 crystal, computed with GGA-PBE.

a b c (Å): 6.0080 6.0119 6.8629
angles (deg): 86.93 65.18 69.23
Positions (direct):
Na  0.1718  0.1398  0.2641
Na  0.8282  0.8602  0.7359
Pd  0.2751  0.6760  0.9680
Pd  0.4548  0.7787  0.5176
Pd  0.5452  0.2213  0.4824
Pd  0.7249  0.3240  0.0320
Se  0.2231  0.1059  0.8261
Se  0.2952  0.5675  0.3249
Se  0.7048  0.4325  0.6751
Se  0.7769  0.8941  0.1739

Values from the calculation:
The value obtained for the energy above the most stable polymorph in this dataset is 0.000 eV per atom. As for the calculated volume: 209 Å³/cell. The value obtained for the formation energy without anion corrections is -461 meV per atom. The density comes out at 6.256 g/cm³.

***

A relaxed UCoNiRu crystal, computed with GGA-PBE.

a b c (Å): 3.7488 3.9151 3.9320
angles (deg): 90.00 90.00 90.00
Positions (direct):
U  0.0000  0.0000  0.0000
Co  0.5000  0.0000  0.5000
Ni  0.0000  0.5000  0.5000
Ru  0.5000  0.5000  0.0000

Values from the calculation:
The value obtained for the energy above the most stable polymorph in this dataset is 0.000 eV per atom. As for the calculated volume: 58 Å³/cell. As for the energy of formation: -0.321 eV/atom. The density comes out at 13.142 g/cm³.

***

A relaxed Er2Ni5Ge2 crystal, computed with GGA-PBE.

a b c (Å): 4.0320 4.0320 8.4277
angles (deg): 90.00 90.00 90.00
Positions (direct):
Er  0.0000  0.0000  0.0000
Er  0.0000  0.0000  0.5000
Ni  0.0000  0.5000  0.2157
Ni  0.0000  0.5000  0.7843
Ni  0.5000  0.0000  0.2157
Ni  0.5000  0.0000  0.7843
Ni  0.5000  0.5000  0.0000
Ge  0.5000  0.5000  0.3501
Ge  0.5000  0.5000  0.6499

Values from the calculation:
As for the calculated volume: 137 Å³/cell. As for the energy of formation: -0.503 eV/atom. The density comes out at 9.372 g/cm³.

***

A relaxed Al4NiAg2 crystal, computed with GGA-PBE.

a b c (Å): 7.1500 7.1500 7.1500
angles (deg): 142.89 142.89 53.49
Positions (direct):
Al  0.0000  0.5000  0.5000
Al  0.1813  0.1813  0.0000
Al  0.5000  0.0000  0.5000
Al  0.8187  0.8187  0.0000
Ni  0.0000  0.0000  0.0000
Ag  0.3773  0.3773  0.0000
Ag  0.6227  0.6227  0.0000

Values from the calculation:
As for the calculated volume: 132 Å³/cell. As for the energy of formation: 0.075 eV/atom. The density comes out at 4.803 g/cm³.

***

Repeat the twelfth record exactly.
A relaxed Al4NiAg2 crystal, computed with GGA-PBE.

a b c (Å): 7.1500 7.1500 7.1500
angles (deg): 142.89 142.89 53.49
Positions (direct):
Al  0.0000  0.5000  0.5000
Al  0.1813  0.1813  0.0000
Al  0.5000  0.0000  0.5000
Al  0.8187  0.8187  0.0000
Ni  0.0000  0.0000  0.0000
Ag  0.3773  0.3773  0.0000
Ag  0.6227  0.6227  0.0000

Values from the calculation:
As for the calculated volume: 132 Å³/cell. As for the energy of formation: 0.075 eV/atom. The density comes out at 4.803 g/cm³.

***

What is the formula in the first record?
InNiRh

***

density of number 6 (AlHSe2S)?
3.477 g/cm³

***

Look up the density of the third one.
5.743 g/cm³